First-principles (PBE) data for Tl2CoRe after structural relaxation, as listed in Alexandria.

total energy	-5.0477	eV per atom
relative energy among the computed polymorphs	461	meV per atom
formation enthalpy at 0 K	1.02	eV per atom

Cell and atoms, written as CIF:
```
data_Tl2CoRe
_cell_length_a 6.556
_cell_length_b 6.563
_cell_length_c 3.304
_cell_angle_alpha 90.00
_cell_angle_beta 90.00
_cell_angle_gamma 90.00
_symmetry_space_group_name_H-M 'C m m m'
_symmetry_Int_Tables_number 65
_symmetry_space_group_name_Hall '-C 2 2'
loop_
_atom_site_label
_atom_site_fract_x
_atom_site_fract_y
_atom_site_fract_z
Tl1 0.250 0.250 0.000
Co1 0.000 0.000 0.500
Re1 0.000 0.500 0.500
```

First-principles (PBE) data for TlCoRe2 after structural relaxation, as listed in Alexandria.

total energy	-7.9665	eV per atom
relative energy among the computed polymorphs	124	meV per atom
formation enthalpy at 0 K	0.63	eV per atom

Cell and atoms, written as CIF:
```
data_TlCoRe2
_cell_length_a 2.769
_cell_length_b 4.409
_cell_length_c 10.430
_cell_angle_alpha 90.00
_cell_angle_beta 90.00
_cell_angle_gamma 90.00
_symmetry_space_group_name_H-M 'I m m m'
_symmetry_Int_Tables_number 71
_symmetry_space_group_name_Hall '-I 2 2'
loop_
_atom_site_label
_atom_site_fract_x
_atom_site_fract_y
_atom_site_fract_z
Tl1 0.000 0.000 0.000
Co1 0.000 0.000 0.500
Re1 0.000 0.500 0.209
```

First-principles (PBE) data for Tl2CoRe after structural relaxation, as listed in Alexandria.

total energy	-5.1195	eV per atom
relative energy among the computed polymorphs	390	meV per atom
formation enthalpy at 0 K	0.95	eV per atom

Cell and atoms, written as CIF:
```
data_Tl2CoRe
_cell_length_a 3.0756
_cell_length_b 3.0756
_cell_length_c 26.3229
_cell_angle_alpha 90.00
_cell_angle_beta 90.00
_cell_angle_gamma 120.00
_symmetry_space_group_name_H-M 'R -3 m'
_symmetry_Int_Tables_number 166
_symmetry_space_group_name_Hall '-R 3 2"'
loop_
_atom_site_label
_atom_site_fract_x
_atom_site_fract_y
_atom_site_fract_z
Tl1 0.0000 0.0000 0.2451
Co1 0.0000 0.0000 0.5000
Re1 0.0000 0.0000 0.0000
```

First-principles (PBE) data for Tl2CoRe after structural relaxation, as listed in Alexandria.

total energy	-5.2434	eV per atom
relative energy among the computed polymorphs	266	meV per atom
formation enthalpy at 0 K	0.83	eV per atom

Cell and atoms, written as CIF:
```
data_Tl2CoRe
_cell_length_a 10.818
_cell_length_b 2.926
_cell_length_c 5.006
_cell_angle_alpha 90.00
_cell_angle_beta 111.73
_cell_angle_gamma 90.00
_symmetry_space_group_name_H-M 'C 1 m 1'
_symmetry_Int_Tables_number 8
loop_
_symmetry_equiv_pos_as_xyz
'x,y,z'
'x,-y,z'
'x+1/2,y+1/2,z'
'x+1/2,-y+1/2,z'
loop_
_atom_site_label
_atom_site_fract_x
_atom_site_fract_y
_atom_site_fract_z
Tl1 0.000 0.000 0.000
Tl2 0.207 0.000 0.622
Co1 0.444 0.000 0.482
Re1 0.267 0.500 0.159
```

First-principles (PBE) data for TlCoRe2 after structural relaxation, as listed in Alexandria.

total energy	-7.8611	eV per atom
relative energy among the computed polymorphs	229	meV per atom
formation enthalpy at 0 K	0.73	eV per atom

Cell and atoms, written as CIF:
```
data_TlCoRe2
_cell_length_a 3.038
_cell_length_b 3.038
_cell_length_c 7.058
_cell_angle_alpha 90.00
_cell_angle_beta 90.00
_cell_angle_gamma 90.00
_symmetry_space_group_name_H-M 'P 4/m m m'
_symmetry_Int_Tables_number 123
_symmetry_space_group_name_Hall '-P 4 2'
loop_
_atom_site_label
_atom_site_fract_x
_atom_site_fract_y
_atom_site_fract_z
Tl1 0.000 0.000 0.000
Co1 0.000 0.000 0.500
Re1 0.500 0.500 0.318
```

First-principles (PBE) data for Tl2CoRe2 after structural relaxation, as listed in Alexandria.

total energy	-5.9953	eV per atom
relative energy among the computed polymorphs	244	meV per atom
formation enthalpy at 0 K	1.35	eV per atom

Cell and atoms, written as CIF:
```
data_Tl2CoRe2
_cell_length_a 8.196
_cell_length_b 8.196
_cell_length_c 2.958
_cell_angle_alpha 90.00
_cell_angle_beta 90.00
_cell_angle_gamma 90.00
_symmetry_space_group_name_H-M 'P 4/m b m'
_symmetry_Int_Tables_number 127
_symmetry_space_group_name_Hall '-P 4 2ab'
loop_
_atom_site_label
_atom_site_fract_x
_atom_site_fract_y
_atom_site_fract_z
Tl1 0.191 0.309 0.000
Co1 0.000 0.000 0.000
Re1 0.101 0.601 0.500
```

The lowest total energy belongs to which entry? number 2

Please write out number 4 again, unchanged.
First-principles (PBE) data for Tl2CoRe after structural relaxation, as listed in Alexandria.

total energy	-5.2434	eV per atom
relative energy among the computed polymorphs	266	meV per atom
formation enthalpy at 0 K	0.83	eV per atom

Cell and atoms, written as CIF:
```
data_Tl2CoRe
_cell_length_a 10.818
_cell_length_b 2.926
_cell_length_c 5.006
_cell_angle_alpha 90.00
_cell_angle_beta 111.73
_cell_angle_gamma 90.00
_symmetry_space_group_name_H-M 'C 1 m 1'
_symmetry_Int_Tables_number 8
loop_
_symmetry_equiv_pos_as_xyz
'x,y,z'
'x,-y,z'
'x+1/2,y+1/2,z'
'x+1/2,-y+1/2,z'
loop_
_atom_site_label
_atom_site_fract_x
_atom_site_fract_y
_atom_site_fract_z
Tl1 0.000 0.000 0.000
Tl2 0.207 0.000 0.622
Co1 0.444 0.000 0.482
Re1 0.267 0.500 0.159
```

Which of these has the highest total energy? number 1

Which of these has the lowest formation enthalpy at 0 K? number 2